No. 1
A relaxed structure of Ag2RuPb, computed with PBE.

SG   No. 139
Total energy   -4.2188 eV per atom
E_form   453 meV/atom

Cell and atoms, written as POSCAR:
```
Ag2RuPb
1.0
3.9735 0.0000 0.0000
0.0000 3.9735 0.0000
0.0000 0.0000 9.5609
Ag Ru Pb
4 2 2
direct
0.0000 0.5000 0.2500
0.0000 0.5000 0.7500
0.5000 0.0000 0.2500
0.5000 0.0000 0.7500
0.0000 0.0000 0.0000
0.5000 0.5000 0.5000
0.0000 0.0000 0.5000
0.5000 0.5000 0.0000
```

=====

No. 2
A relaxed structure of AgRuPb2, computed with PBE.

SG   No. 119
Total energy   -4.4086 eV per atom
E_form   477 meV/atom
Polymorph energy (0 for the lowest one)   0.154 eV per atom

Cell and atoms, written as POSCAR:
```
AgRuPb2
1.0
4.1829 0.0000 0.0000
0.0000 4.1829 0.0000
0.0000 0.0000 9.7002
Ag Ru Pb
2 2 4
direct
0.0000 0.0000 0.0000
0.5000 0.5000 0.5000
0.0000 0.5000 0.2500
0.5000 0.0000 0.7500
0.0000 0.0000 0.5000
0.0000 0.5000 0.7500
0.5000 0.0000 0.2500
0.5000 0.5000 0.0000
```

=====

No. 3
A relaxed structure of Ag2RuPb, computed with PBE.

SG   No. 123
Total energy   -4.3149 eV per atom
E_form   357 meV/atom

Cell and atoms, written as POSCAR:
```
Ag2RuPb
1.0
4.0077 0.0000 0.0000
0.0000 4.0077 0.0000
0.0000 0.0000 4.5783
Ag Ru Pb
2 1 1
direct
0.0000 0.5000 0.0000
0.5000 0.0000 0.0000
0.0000 0.0000 0.5000
0.5000 0.5000 0.5000
```

=====

No. 4
A relaxed structure of AgRuPb2, computed with PBE.

SG   No. 99
Total energy   -4.4966 eV per atom
E_form   389 meV/atom
Polymorph energy (0 for the lowest one)   0.066 eV per atom

Cell and atoms, written as POSCAR:
```
AgRuPb2
1.0
3.4583 0.0000 0.0000
0.0000 3.4583 0.0000
0.0000 0.0000 7.5234
Ag Ru Pb
1 1 2
direct
0.0000 0.0000 0.0000
0.5000 0.5000 0.7969
0.0000 0.0000 0.5990
0.5000 0.5000 0.2276
```

=====

No. 5
A relaxed structure of Ag3RuPb, computed with PBE.

SG   No. 221
Total energy   -3.2603 eV per atom
E_form   1047 meV/atom
Polymorph energy (0 for the lowest one)   0.000 eV per atom

Cell and atoms, written as POSCAR:
```
Ag3RuPb
1.0
5.0775 0.0000 0.0000
0.0000 5.0775 0.0000
0.0000 0.0000 5.0775
Ag Ru Pb
3 1 1
direct
0.0000 0.0000 0.5000
0.0000 0.5000 0.0000
0.5000 0.0000 0.0000
0.0000 0.0000 0.0000
0.5000 0.5000 0.5000
```

=====

No. 6
A relaxed structure of AgRuPb3, computed with PBE.

SG   No. 221
Total energy   -4.2526 eV per atom
E_form   398 meV/atom
Polymorph energy (0 for the lowest one)   0.000 eV per atom

Cell and atoms, written as POSCAR:
```
AgRuPb3
1.0
5.2678 0.0000 0.0000
0.0000 5.2678 0.0000
0.0000 0.0000 5.2678
Ag Ru Pb
1 1 3
direct
0.0000 0.0000 0.0000
0.5000 0.5000 0.5000
0.0000 0.5000 0.5000
0.5000 0.0000 0.5000
0.5000 0.5000 0.0000
```

=====

No. 7
A relaxed structure of Ag2RuPb, computed with PBE.

SG   No. 122
Total energy   -4.1273 eV per atom
E_form   544 meV/atom

Cell and atoms, written as POSCAR:
```
Ag2RuPb
1.0
3.9091 0.0000 0.0000
0.0000 3.9091 0.0000
0.0000 0.0000 20.9442
Ag Ru Pb
8 4 4
direct
0.2404 0.2500 0.1250
0.2500 0.7404 0.3750
0.2500 0.7596 0.8750
0.2596 0.2500 0.6250
0.7404 0.7500 0.6250
0.7500 0.2404 0.8750
0.7500 0.2596 0.3750
0.7596 0.7500 0.1250
0.0000 0.0000 0.0000
0.0000 0.5000 0.2500
0.5000 0.0000 0.7500
0.5000 0.5000 0.5000
0.0000 0.0000 0.5000
0.0000 0.5000 0.7500
0.5000 0.0000 0.2500
0.5000 0.5000 0.0000
```

=====

No. 8
A relaxed structure of AgRuPb2, computed with PBE.

SG   No. 123
Total energy   -4.5158 eV per atom
E_form   370 meV/atom
Polymorph energy (0 for the lowest one)   0.047 eV per atom

Cell and atoms, written as POSCAR:
```
AgRuPb2
1.0
3.3638 0.0000 0.0000
0.0000 3.3638 0.0000
0.0000 0.0000 7.7407
Ag Ru Pb
1 1 2
direct
0.0000 0.0000 0.0000
0.0000 0.0000 0.5000
0.5000 0.5000 0.2795
0.5000 0.5000 0.7205
```

=====

No. 9
A relaxed structure of AgRuPb2, computed with PBE.

SG   No. 25
Total energy   -4.4727 eV per atom
E_form   413 meV/atom
Polymorph energy (0 for the lowest one)   0.090 eV per atom

Cell and atoms, written as POSCAR:
```
AgRuPb2
1.0
3.5014 0.0000 0.0000
0.0000 4.1921 0.0000
0.0000 0.0000 5.8512
Ag Ru Pb
1 1 2
direct
0.0000 0.0000 0.0000
0.5000 0.5000 0.7023
0.0000 0.0000 0.5315
0.5000 0.5000 0.1897
```

=====

No. 10
A relaxed structure of Ag2RuPb, computed with PBE.

SG   No. 216
Total energy   -4.2418 eV per atom
E_form   430 meV/atom

Cell and atoms, written as POSCAR:
```
Ag2RuPb
1.0
6.6601 0.0000 0.0000
0.0000 6.6601 0.0000
0.0000 0.0000 6.6601
Ag Ru Pb
8 4 4
direct
0.0000 0.0000 0.0000
0.0000 0.5000 0.5000
0.2500 0.2500 0.2500
0.2500 0.7500 0.7500
0.5000 0.0000 0.5000
0.5000 0.5000 0.0000
0.7500 0.2500 0.7500
0.7500 0.7500 0.2500
0.2500 0.2500 0.7500
0.2500 0.7500 0.2500
0.7500 0.2500 0.2500
0.7500 0.7500 0.7500
0.0000 0.0000 0.5000
0.0000 0.5000 0.0000
0.5000 0.0000 0.0000
0.5000 0.5000 0.5000
```

=====

No. 11
A relaxed structure of AgRuPb2, computed with PBE.

SG   No. 12
Total energy   -4.4198 eV per atom
E_form   466 meV/atom
Polymorph energy (0 for the lowest one)   0.143 eV per atom

Cell and atoms, written as POSCAR:
```
AgRuPb2
1.0
9.0981 0.0000 0.0000
0.0000 3.4046 0.0000
-1.1893 0.0000 5.6331
Ag Ru Pb
2 2 4
direct
0.0000 0.0000 0.0000
0.5000 0.5000 0.0000
0.0000 0.5000 0.5000
0.5000 0.0000 0.5000
0.2384 0.0000 0.7285
0.2616 0.5000 0.2715
0.7384 0.5000 0.7285
0.7616 0.0000 0.2715
```

=====

No. 12
A relaxed structure of AgRuPb2, computed with PBE.

SG   No. 166
Total energy   -4.5175 eV per atom
E_form   368 meV/atom
Polymorph energy (0 for the lowest one)   0.045 eV per atom

Cell and atoms, written as POSCAR:
```
AgRuPb2
1.0
3.3576 0.0000 0.0000
-1.6788 2.9078 0.0000
0.0000 0.0000 27.2230
Ag Ru Pb
3 3 6
direct
0.0000 0.0000 0.0000
0.3333 0.6667 0.6667
0.6667 0.3333 0.3333
0.0000 0.0000 0.5000
0.3333 0.6667 0.1667
0.6667 0.3333 0.8333
0.0000 0.0000 0.2418
0.0000 0.0000 0.7582
0.3333 0.6667 0.4248
0.3333 0.6667 0.9085
0.6667 0.3333 0.0915
0.6667 0.3333 0.5752
```